Ca2AgRu: optimized geometry, PBE-GGA.

Cell lengths 9.2743, 9.2743, 9.2743 Å; angles 21.52, 21.52, 21.52 degrees
Fractional coordinates of all 4 atoms:
1 Ca 0.2411 0.2411 0.2411
2 Ca 0.7589 0.7589 0.7589
3 Ag 0.0000 0.0000 0.0000
4 Ru 0.5000 0.5000 0.5000

Results
Formation energy, eV per atom: 0.25
V, Å³/atom: 23.52
SG: R-3m, No. 166
Size of the total moment, μB/f.u.: 0.3